AcTlAsPd: optimized geometry, PBE-GGA.

Geometry as POSCAR:
```
AcTlAsPd
1.0
5.2524 0.0000 0.0000
2.6262 4.5487 0.0000
2.6262 1.5162 4.2886
As Ac Tl Pd
1 1 1 1
Cartesian
2.6262 1.5162 1.0722
5.2524 3.0325 2.1443
0.0000 0.0000 0.0000
7.8787 4.5487 3.2165
```

V = 25.6 Å³/atom
formation enthalpy at 0 K = -0.4871 eV per atom
N(E_F) = 1.167 states/eV/atom
final energy = -18.27 eV for the cell shown


TiGa4Rh: optimized geometry, PBE-GGA.

Geometry as POSCAR:
```
TiGa4Rh
1.0
1.5298 5.6592 -1.6424
-1.5927 -1.2234 -5.6988
-7.0595 -3.8295 2.7951
Ti Ga Rh
2 8 2
Cartesian
-2.7649 0.9148 0.5763
-4.3261 -2.5265 -1.4519
-1.3610 3.7693 -5.2285
-4.9939 -0.3315 -0.1295
-1.3302 1.5502 -1.5586
-6.5551 -3.7720 -2.1591
-5.7614 -3.1631 0.6823
-2.1286 0.9377 -4.4167
-5.7922 -0.9440 -2.9876
-0.5673 4.3782 -2.3871
0.0000 0.0000 0.0000
-0.0315 2.2179 -3.6706
```

V = 18.2 Å³/atom
formation enthalpy at 0 K = -0.3691 eV per atom
N(E_F) = 0.640 states/eV/atom
final energy = -59.14 eV for the cell shown


SmGdIrPd: optimized geometry, PBE-GGA.

Geometry as POSCAR:
```
SmGdIrPd
1.0
4.9737 0.0000 0.0000
2.4868 4.3073 0.0000
2.4868 1.4358 4.0610
Gd Ir Pd Sm
1 1 1 1
Cartesian
7.4605 4.3073 3.0457
0.0000 0.0000 0.0000
4.9737 2.8716 2.0305
2.4868 1.4358 1.0152
```

V = 21.7 Å³/atom
formation enthalpy at 0 K = -0.7954 eV per atom
N(E_F) = 0.668 states/eV/atom
final energy = -36.04 eV for the cell shown